ScInAs2 (GGA-PBE, optimized geometry); spin magnetization = 0.00 μB/atom; E_form = -330.0 meV/atom; density = 6.19 g cm⁻³; symmetry = I4/mmm (139)
1.0
-2.586 -4.270 1.514
2.626 -4.005 -2.070
1.777 3.972 2.878
As In Sc
2 1 1
direct
0.000 0.000 0.000
0.500 0.500 0.000
0.250 0.750 0.500
0.750 0.250 0.500

Sc2InAs (GGA-PBE, optimized geometry); spin magnetization = 0.00 μB/atom; E_form = -546.7 meV/atom; density = 5.53 g cm⁻³; symmetry = Pmmm (47); ΔE to the lowest computed polymorph = 278 meV per atom
1.0
4.616 0.000 0.000
0.000 4.668 0.000
0.000 0.000 3.894
As In Sc
1 1 2
direct
0.500 0.000 0.500
0.000 0.500 0.500
0.000 0.000 0.000
0.500 0.500 0.000

Repeat the second record exactly.
Sc2InAs (GGA-PBE, optimized geometry); spin magnetization = 0.00 μB/atom; E_form = -546.7 meV/atom; density = 5.53 g cm⁻³; symmetry = Pmmm (47); ΔE to the lowest computed polymorph = 278 meV per atom
1.0
4.616 0.000 0.000
0.000 4.668 0.000
0.000 0.000 3.894
As In Sc
1 1 2
direct
0.500 0.000 0.500
0.000 0.500 0.500
0.000 0.000 0.000
0.500 0.500 0.000

Please write out number 2 again, unchanged.
Sc2InAs (GGA-PBE, optimized geometry); spin magnetization = 0.00 μB/atom; E_form = -546.7 meV/atom; density = 5.53 g cm⁻³; symmetry = Pmmm (47); ΔE to the lowest computed polymorph = 278 meV per atom
1.0
4.616 0.000 0.000
0.000 4.668 0.000
0.000 0.000 3.894
As In Sc
1 1 2
direct
0.500 0.000 0.500
0.000 0.500 0.500
0.000 0.000 0.000
0.500 0.500 0.000